# 1
InAsAuO | PBE-GGA | relaxed

The structure belongs to space group P4/nmm (No. 129, origin choice 2); the cell edges are 4.3741, 4.3741 and 8.9171 Å and the angles 90.00°, 90.00° and 90.00°. The asymmetric unit holds In at (0.2500, 0.7500, 0.0000), As at (0.2500, 0.2500, 0.1925), Au at (0.2500, 0.2500, 0.5417) and O at (0.2500, 0.7500, 0.5000).

For the energy relative to the lowest polymorph listed for this composition, the calculation gives 0.588 eV per atom. Its crystal system is tetragonal. As for the density: 7839 kg/m³.


# 2
InAsAuO | PBE-GGA | relaxed

The structure belongs to space group Pmc2_1 (No. 26); the cell edges are 4.3067, 7.1363 and 5.4761 Å and the angles 90.00°, 90.00° and 90.00°. The asymmetric unit holds In at (0.0000, 0.1665, 0.0000), As at (0.5000, 0.3529, 0.8587), Au at (0.5000, 0.3010, 0.3917) and O at (0.0000, 0.1105, 0.3807).

For the energy relative to the lowest polymorph listed for this composition, the calculation gives 0.070 eV per atom. Its crystal system is orthorhombic. As for the density: 7946 kg/m³.


# 3
InAsAuO | PBE-GGA | relaxed

The structure belongs to space group Pmc2_1 (No. 26); the cell edges are 3.5128, 6.8615 and 7.0078 Å and the angles 90.00°, 90.00° and 90.00°. The asymmetric unit holds In at (0.0000, 0.2032, 0.0000), As at (0.0000, 0.1691, 0.3833), Au at (0.5000, 0.2934, 0.5984) and O at (0.5000, 0.3496, 0.9116).

For the energy relative to the lowest polymorph listed for this composition, the calculation gives 0.044 eV per atom. Its crystal system is orthorhombic. As for the density: 7918 kg/m³.


# 4
InAsAuO | PBE-GGA | relaxed

The structure belongs to space group P4/nmm (No. 129, origin choice 2); the cell edges are 3.9519, 3.9519 and 9.4256 Å and the angles 90.00°, 90.00° and 90.00°. The asymmetric unit holds In at (0.2500, 0.2500, 0.1081), As at (0.2500, 0.2500, 0.6968), Au at (0.2500, 0.7500, 0.5000) and O at (0.2500, 0.7500, 0.0000).

For the energy relative to the lowest polymorph listed for this composition, the calculation gives 0.000 eV per atom. Its crystal system is tetragonal. As for the density: 9085 kg/m³.